# U2Cr2FeC4, relaxed, DFT GGA-PBE
data_U2Cr2FeC4
_chemical_formula_sum 'U2 Cr2 Fe1 C4'
_cell_length_a 3.065
_cell_length_b 6.235
_cell_length_c 5.387
_cell_angle_alpha 95.94
_cell_angle_beta 90.00
_cell_angle_gamma 104.23
_symmetry_space_group_name_H-M 'P 1'
_symmetry_Int_Tables_number 1
_symmetry_space_group_name_Hall 'P 1'
loop_
_atom_site_label
_atom_site_fract_x
_atom_site_fract_y
_atom_site_fract_z
U1 0.882 0.764 0.454
U2 0.118 0.236 0.546
Cr1 0.328 0.656 0.931
Cr2 0.672 0.344 0.069
Fe1 0.000 0.000 0.000
C1 0.748 0.496 0.755
C2 0.252 0.504 0.245
C3 0.525 0.050 0.232
C4 0.475 0.950 0.768
# ΔE_f	-145	meV/atom
# N(E_F)	6.8	states/eV/f.u.
# crystal system	monoclinic


# ZrOs, relaxed, DFT GGA-PBE
data_ZrOs
_chemical_formula_sum 'Zr2 Os2'
_cell_length_a 3.896
_cell_length_b 5.490
_cell_length_c 3.896
_cell_angle_alpha 69.21
_cell_angle_beta 90.00
_cell_angle_gamma 110.79
_symmetry_space_group_name_H-M 'P 1'
_symmetry_Int_Tables_number 1
_symmetry_space_group_name_Hall 'P 1'
loop_
_atom_site_label
_atom_site_fract_x
_atom_site_fract_y
_atom_site_fract_z
Os1 0.000 0.000 0.000
Os2 0.750 0.500 0.750
Zr1 0.250 0.500 0.250
Zr2 0.500 0.000 0.500
# ΔE_f	-147	meV/atom
# N(E_F)	1.2	states/eV/f.u.
# crystal system	tetragonal


# Sc2TaRe, relaxed, DFT GGA-PBE
data_Sc2TaRe
_chemical_formula_sum 'Sc2 Ta1 Re1'
_cell_length_a 3.249
_cell_length_b 3.249
_cell_length_c 7.564
_cell_angle_alpha 90.00
_cell_angle_beta 90.00
_cell_angle_gamma 90.00
_symmetry_space_group_name_H-M 'P 1'
_symmetry_Int_Tables_number 1
_symmetry_space_group_name_Hall 'P 1'
loop_
_atom_site_label
_atom_site_fract_x
_atom_site_fract_y
_atom_site_fract_z
Sc1 0.000 0.000 0.948
Sc2 0.500 0.500 0.286
Re1 0.500 0.500 0.728
Ta1 0.000 0.000 0.538
# ΔE_f	-112	meV/atom
# N(E_F)	3.2	states/eV/f.u.
# ΔE to the lowest computed polymorph	0	meV per atom
# crystal system	tetragonal


# SrCa2Pa3N6, relaxed, DFT GGA-PBE
data_SrCa2Pa3N6
_chemical_formula_sum 'Sr1 Ca2 Pa3 N6'
_cell_length_a 3.575
_cell_length_b 7.114
_cell_length_c 7.958
_cell_angle_alpha 102.38
_cell_angle_beta 102.98
_cell_angle_gamma 90.00
_symmetry_space_group_name_H-M 'P 1'
_symmetry_Int_Tables_number 1
_symmetry_space_group_name_Hall 'P 1'
loop_
_atom_site_label
_atom_site_fract_x
_atom_site_fract_y
_atom_site_fract_z
Sr1 0.500 0.000 0.000
Ca1 0.832 0.664 0.664
Ca2 0.168 0.336 0.336
Pa1 0.500 0.500 0.000
Pa2 0.832 0.168 0.664
Pa3 0.168 0.832 0.336
N1 0.320 0.936 0.641
N2 0.659 0.605 0.319
N3 0.680 0.064 0.359
N4 0.991 0.283 0.981
N5 0.009 0.717 0.019
N6 0.341 0.395 0.681
# formation energy from raw total energies	-1.405	eV per atom
# N(E_F)	7.7	states/eV/f.u.
# crystal system	monoclinic


# YSiOs2, relaxed, DFT GGA-PBE
data_YSiOs2
_chemical_formula_sum 'Y1 Si1 Os2'
_cell_length_a 5.306
_cell_length_b 5.306
_cell_length_c 5.306
_cell_angle_alpha 146.91
_cell_angle_beta 124.34
_cell_angle_gamma 66.31
_symmetry_space_group_name_H-M 'P 1'
_symmetry_Int_Tables_number 1
_symmetry_space_group_name_Hall 'P 1'
loop_
_atom_site_label
_atom_site_fract_x
_atom_site_fract_y
_atom_site_fract_z
Os1 0.966 0.966 0.000
Os2 0.534 0.534 0.000
Si1 0.750 0.250 0.500
Y1 0.250 0.750 0.500
# formation energy from raw total energies	0.031	eV per atom
# N(E_F)	3.2	states/eV/f.u.
# crystal system	orthorhombic


# MnCo2Au, relaxed, DFT GGA-PBE
data_MnCo2Au
_chemical_formula_sum 'Mn1 Co2 Au1'
_cell_length_a 4.264
_cell_length_b 4.264
_cell_length_c 4.264
_cell_angle_alpha 60.00
_cell_angle_beta 60.00
_cell_angle_gamma 60.00
_symmetry_space_group_name_H-M 'P 1'
_symmetry_Int_Tables_number 1
_symmetry_space_group_name_Hall 'P 1'
loop_
_atom_site_label
_atom_site_fract_x
_atom_site_fract_y
_atom_site_fract_z
Au1 0.500 0.500 0.500
Co1 0.000 0.000 0.000
Co2 0.750 0.750 0.750
Mn1 0.250 0.250 0.250
# ΔE_f	206	meV/atom
# N(E_F)	3.9	states/eV/f.u.
# crystal system	cubic


# Y3Er3In2, relaxed, DFT GGA-PBE
data_Y3Er3In2
_chemical_formula_sum 'Y6 Er6 In4'
_cell_length_a 5.084
_cell_length_b 6.382
_cell_length_c 16.148
_cell_angle_alpha 90.00
_cell_angle_beta 90.00
_cell_angle_gamma 113.47
_symmetry_space_group_name_H-M 'P 1'
_symmetry_Int_Tables_number 1
_symmetry_space_group_name_Hall 'P 1'
loop_
_atom_site_label
_atom_site_fract_x
_atom_site_fract_y
_atom_site_fract_z
Y1 0.958 0.916 0.396
Y2 0.042 0.084 0.896
Y3 0.958 0.916 0.104
Y4 0.042 0.084 0.604
Y5 0.738 0.475 0.250
Y6 0.262 0.525 0.750
Er1 0.643 0.285 0.466
Er2 0.357 0.715 0.966
Er3 0.643 0.285 0.034
Er4 0.357 0.715 0.534
Er5 0.458 0.915 0.250
Er6 0.542 0.085 0.750
In1 0.767 0.534 0.862
In2 0.233 0.466 0.362
In3 0.767 0.534 0.638
In4 0.233 0.466 0.138
# ΔE_f	-163	meV/atom
# N(E_F)	10.2	states/eV/f.u.
# ΔE to the lowest computed polymorph	104	meV per atom
# crystal system	orthorhombic


# RbHg2RuF8, relaxed, DFT GGA-PBE
data_RbHg2RuF8
_chemical_formula_sum 'Rb1 Hg2 Ru1 F8'
_cell_length_a 4.707
_cell_length_b 5.768
_cell_length_c 7.685
_cell_angle_alpha 90.01
_cell_angle_beta 90.00
_cell_angle_gamma 106.90
_symmetry_space_group_name_H-M 'P 1'
_symmetry_Int_Tables_number 1
_symmetry_space_group_name_Hall 'P 1'
loop_
_atom_site_label
_atom_site_fract_x
_atom_site_fract_y
_atom_site_fract_z
Rb1 0.000 0.000 0.500
Hg1 0.500 0.500 0.750
Hg2 0.500 0.500 0.250
Ru1 0.000 0.000 0.000
F1 0.028 0.769 0.184
F2 0.578 0.785 0.000
F3 0.972 0.231 0.184
F4 0.972 0.231 0.816
F5 0.422 0.215 0.000
F6 0.028 0.769 0.816
F7 0.410 0.702 0.500
F8 0.590 0.298 0.500
# formation energy from raw total energies	-1.698	eV per atom
# N(E_F)	1.6	states/eV/f.u.
# crystal system	monoclinic


Q: What is the N(E_F) in the fifth record?
A: 3.2 states/eV/f.u.


Q: Among the records above, which one has the lowest N(E_F)?
A: ZrOs